The following is a PBEsol calculation of KMg2Mn after structural relaxation, from the Alexandria database.

Computed properties:
* V: 103 Å³/cell
* relative energy among the computed polymorphs: 0.000 eV/atom
* DOS(E_F): 3.537 states/eV per cell
* SG: Pmmm (47)

Cell lengths 3.3360, 3.3665, 9.1531 Å; angles 90.00, 90.05, 90.00 degrees
With the nearest neighbours (Å) after each atom.
Positions (direct):
Mn: 0.5000 0.5000 0.0000  8 Mg 2.82-2.83
Mg: 0.0002 0.0000 0.1680  4 Mn 2.82-2.83, 1 Mg 3.08
Mg: 0.9998 0.0000 0.8320  4 Mn 2.82-2.83, 1 Mg 3.08
K: 0.5000 0.5000 0.5000  4 K 3.34-3.37